## ScMn2Ni (GGA-PBE)

Data for an optimized crystal structure of ScMn2Ni.

Structure (CIF):
```
data_ScMn2Ni
_chemical_formula_sum 'Sc1 Mn2 Ni1'
_cell_length_a 3.318
_cell_length_b 4.084
_cell_length_c 4.198
_cell_angle_alpha 90.00
_cell_angle_beta 90.00
_cell_angle_gamma 90.00
_space_group_name_H-M_alt 'P m m m'
_space_group_IT_number 47
loop_
_space_group_symop_operation_xyz
'x,y,z'
'-x,-y,-z'
'-x,-y,z'
'x,y,-z'
'x,-y,-z'
'-x,y,z'
'-x,y,-z'
'x,-y,z'
loop_
_atom_site_label
_atom_site_fract_x
_atom_site_fract_y
_atom_site_fract_z
Sc1 0.000 0.000 0.000
Mn1 0.000 0.500 0.500
Mn2 0.500 0.000 0.500
Ni1 0.500 0.500 0.000
```

Calculated values
M_tot, μB/f.u.: 1.48
Energy of formation, meV/atom: -8.9
Fermi-level density of states, states/eV/cell: 4.4